1.
Ba4Pd3 | GGA-PBE | optimized geometry

a = 9.6455 Å, b = 9.6455 Å, c = 9.6455 Å
α = 33.34°, β = 33.34°, γ = 33.34°
Last column: nearest neighbours and their distance in Å.
Sites, in units of the cell vectors:
Ba1 0.1228 0.1228 0.1228  5 Pd 3.35-3.41
Ba2 0.3727 0.3727 0.3727  7 Pd 3.37-3.44
Ba3 0.6273 0.6273 0.6273  7 Pd 3.37-3.44
Ba4 0.8772 0.8772 0.8772  5 Pd 3.35-3.41
Pd1 0.0000 0.0000 0.0000  8 Ba 3.35-3.37
Pd2 0.2477 0.2477 0.2477  8 Ba 3.35-3.44
Pd3 0.7523 0.7523 0.7523  8 Ba 3.35-3.44

Properties
magnetic moment = 0.000 μB per atom
DOS at the Fermi energy = 2.9 states/eV per cell
final energy = -26.37 eV/cell
ΔE_f = -0.44 eV/atom

***

2.
Ba3Pd2 | GGA-PBE | optimized geometry

a = 4.4653 Å, b = 7.5521 Å, c = 11.2443 Å
α = 90.00°, β = 90.00°, γ = 90.00°
Last column: nearest neighbours and their distance in Å.
Sites, in units of the cell vectors:
Ba1 0.0000 0.0000 0.0000  4 Pd 3.26
Ba2 0.0000 0.5000 0.1806  4 Pd 3.33
Ba3 0.0000 0.5000 0.8194  4 Pd 3.33
Ba4 0.5000 0.0000 0.3194  4 Pd 3.33
Ba5 0.5000 0.0000 0.6806  4 Pd 3.33
Ba6 0.5000 0.5000 0.5000  4 Pd 3.26
Pd1 0.0000 0.1858 0.5000  1 Pd 2.81
Pd2 0.0000 0.8142 0.5000  1 Pd 2.81
Pd3 0.5000 0.3142 0.0000  1 Pd 2.81
Pd4 0.5000 0.6858 0.0000  1 Pd 2.81

Properties
magnetic moment = 0.000 μB per atom
DOS at the Fermi energy = 5.3 states/eV per cell
final energy = -36.54 eV/cell
ΔE_f = -0.42 eV/atom
relative energy among the computed polymorphs = 11 meV per atom

***

3.
Ba6Pd | GGA-PBE | optimized geometry

a = 14.9750 Å, b = 13.7062 Å, c = 7.8922 Å
α = 90.00°, β = 90.00°, γ = 90.00°
Last column: nearest neighbours and their distance in Å.
Sites, in units of the cell vectors:
Ba1 0.0021 0.2500 0.2411  1 Pd 3.16
Ba2 0.0052 0.0857 0.7509  1 Pd 3.17
Ba3 0.0052 0.4143 0.7509  1 Pd 3.17
Ba4 0.2467 0.0863 0.0830  1 Pd 3.17
Ba5 0.2467 0.4137 0.0830  1 Pd 3.17
Ba6 0.2493 0.7500 0.0927  1 Pd 3.17
Ba7 0.2507 0.2500 0.5927  1 Pd 3.17
Ba8 0.2533 0.5863 0.5830  1 Pd 3.17
Ba9 0.2533 0.9137 0.5830  1 Pd 3.17
Ba10 0.4948 0.5857 0.2509  1 Pd 3.17
Ba11 0.4948 0.9143 0.2509  1 Pd 3.17
Ba12 0.4979 0.7500 0.7411  1 Pd 3.16
Ba13 0.5021 0.2500 0.2589  1 Pd 3.16
Ba14 0.5052 0.0857 0.7491  1 Pd 3.17
Ba15 0.5052 0.4143 0.7491  1 Pd 3.17
Ba16 0.7467 0.0863 0.4170  1 Pd 3.17
Ba17 0.7467 0.4137 0.4170  1 Pd 3.17
Ba18 0.7493 0.7500 0.4073  1 Pd 3.17
Ba19 0.7507 0.2500 0.9073  1 Pd 3.17
Ba20 0.7533 0.5863 0.9170  1 Pd 3.17
Ba21 0.7533 0.9137 0.9170  1 Pd 3.17
Ba22 0.9948 0.5857 0.2491  1 Pd 3.17
Ba23 0.9948 0.9143 0.2491  1 Pd 3.17
Ba24 0.9979 0.7500 0.7589  1 Pd 3.16
Pd1 0.1255 0.2500 0.9165  6 Ba 3.16-3.17
Pd2 0.3745 0.7500 0.4165  6 Ba 3.16-3.17
Pd3 0.6255 0.2500 0.5835  6 Ba 3.16-3.17
Pd4 0.8745 0.7500 0.0835  6 Ba 3.16-3.17

Properties
magnetic moment = 0.000 μB per atom
DOS at the Fermi energy = 22.5 states/eV per cell
final energy = -72.51 eV/cell
ΔE_f = -0.20 eV/atom

***

- Look up the magnetic moment of the third one.
  0.000 μB per atom